Compound: La2GaPt4
Source: the Alexandria database
Functional: PBE-GGA
Structure: optimized geometry

## Properties
**V**: 23.89 A^3/atom
**E_form**: -16.20 kcal/mol of atoms
**Total magnetic moment**: 0.0 μB/cell

Cell lengths 4.717, 4.717, 8.221 Å; angles 73.33, 73.33, 90.00 degrees
Sites, in units of the cell vectors:
Pt  0.167  0.167  0.666
Pt  0.833  0.833  0.334
Pt  0.500  0.000  0.000
Ga  0.000  0.000  0.000
Pt  0.000  0.500  0.000
La  0.355  0.355  0.290
La  0.645  0.645  0.710